# 1
Below is a geometry-optimized KTa2Fe2 structure, with properties calculated at the PBE level.

Values from the calculation:
- Total energy: -38.58 eV/cell
- Formation energy from the elements: 0.630 eV/atom
- Space group: I4/mmm, No. 139
- Size of the total moment: 0.0 μB per cell
- D(E_F): 1.296 states/eV per atom

Lattice parameters (Å, degrees): 6.8372 6.8372 6.8372 144.66 144.66 50.84
With the nearest neighbours (Å) after each atom.
Atoms (fractional coordinates):
K  0.0000  0.0000  0.0000  8 Fe 3.40, 8 Ta 3.72
Ta  0.2500  0.7500  0.5000  4 Fe 2.48
Ta  0.7500  0.2500  0.5000  4 Fe 2.48
Fe  0.3602  0.3602  0.0000  4 Ta 2.48
Fe  0.6398  0.6398  0.0000  4 Ta 2.48

# 2
Below is a geometry-optimized Ho5ScBi4 structure, with properties calculated at the PBE level.

Values from the calculation:
- Total energy: -49.86 eV/cell
- Formation energy from the elements: -0.512 eV/atom
- Space group: C2/m, No. 12
- Size of the total moment: 1.8 μB per cell
- D(E_F): 0.792 states/eV per atom

Lattice parameters (Å, degrees): 10.0373 10.0373 7.6379 100.93 100.93 24.95
With the nearest neighbours (Å) after each atom.
Atoms (fractional coordinates):
Ho  0.0000  0.0000  0.0000  6 Bi 3.14-3.16
Ho  0.3054  0.3054  0.8854  4 Bi 3.18-3.32
Ho  0.3122  0.3122  0.4141  3 Bi 3.07-3.14
Ho  0.6878  0.6878  0.5859  3 Bi 3.07-3.14
Ho  0.6946  0.6946  0.1146  4 Bi 3.18-3.32
Sc  0.0000  0.0000  0.5000  6 Bi 3.05-3.22
Bi  0.1329  0.1329  0.8226  6 Ho 3.14-3.32, 1 Sc 3.22
Bi  0.4421  0.4421  0.7117  2 Sc 3.05, 4 Ho 3.07-3.21
Bi  0.5579  0.5579  0.2883  2 Sc 3.05, 4 Ho 3.07-3.21
Bi  0.8671  0.8671  0.1774  6 Ho 3.14-3.32, 1 Sc 3.22

# 3
Below is a geometry-optimized AcLa6Nd structure, with properties calculated at the PBE level.

Values from the calculation:
- Total energy: -38.38 eV/cell
- Formation energy from the elements: 0.008 eV/atom
- Space group: P4/mmm, No. 123
- Size of the total moment: 0.0 μB per cell
- D(E_F): 1.747 states/eV per atom

Lattice parameters (Å, degrees): 5.2991 5.2991 10.6118 90.00 90.00 90.00
With the nearest neighbours (Å) after each atom.
Atoms (fractional coordinates):
Ac  0.0000  0.0000  0.0000  12 La 3.75-3.79
La  0.0000  0.5000  0.2556  8 La 3.71-3.79, 2 Nd 3.71, 2 Ac 3.79
La  0.0000  0.5000  0.7444  8 La 3.71-3.79, 2 Nd 3.71, 2 Ac 3.79
La  0.5000  0.0000  0.2556  8 La 3.71-3.79, 2 Nd 3.71, 2 Ac 3.79
La  0.5000  0.0000  0.7444  8 La 3.71-3.79, 2 Nd 3.71, 2 Ac 3.79
La  0.5000  0.5000  0.0000  4 Ac 3.75, 8 La 3.79
La  0.5000  0.5000  0.5000  8 La 3.71, 4 Nd 3.75
Nd  0.0000  0.0000  0.5000  12 La 3.71-3.75

# 4
Below is a geometry-optimized CaIF2 structure, with properties calculated at the PBE level.

Values from the calculation:
- Total energy: -15.01 eV/cell
- Space group: Fm-3m, No. 225
- Size of the total moment: 1.0 μB per cell
- Energy relative to the elements, uncorrected: -1.929 eV per atom
- D(E_F): 1.120 states/eV per atom

Lattice parameters (Å, degrees): 4.7508 4.7508 4.7508 60.00 60.00 60.00
With the nearest neighbours (Å) after each atom.
Atoms (fractional coordinates):
Ca  0.0000  0.0000  0.0000  8 F 2.91
I  0.5000  0.5000  0.5000  8 F 2.91
F  0.2500  0.2500  0.2500  4 I 2.91, 4 Ca 2.91
F  0.7500  0.7500  0.7500  4 I 2.91, 4 Ca 2.91

# 5
Below is a geometry-optimized Ga3AgBr structure, with properties calculated at the PBE level.

Values from the calculation:
- Total energy: -13.55 eV/cell
- Space group: Pm-3m, No. 221
- Size of the total moment: 0.0 μB per cell
- Energy relative to the elements, uncorrected: 0.011 eV per atom
- D(E_F): 0.288 states/eV per atom

Lattice parameters (Å, degrees): 5.1033 5.1033 5.1033 90.00 90.00 90.00
With the nearest neighbours (Å) after each atom.
Atoms (fractional coordinates):
Ga  0.0000  0.0000  0.5000  2 Ag 2.55
Ga  0.0000  0.5000  0.0000  2 Ag 2.55
Ga  0.5000  0.0000  0.0000  2 Ag 2.55
Ag  0.0000  0.0000  0.0000  6 Ga 2.55
Br  0.5000  0.5000  0.5000  12 Ga 3.61

# 6
Below is a geometry-optimized Rb3HgP structure, with properties calculated at the PBE level.

Values from the calculation:
- Total energy: -8.96 eV/cell
- Formation energy from the elements: -0.070 eV/atom
- Space group: Pm-3m, No. 221
- Size of the total moment: 0.0 μB per cell
- D(E_F): 1.077 states/eV per atom

Lattice parameters (Å, degrees): 6.6503 6.6503 6.6503 90.00 90.00 90.00
With the nearest neighbours (Å) after each atom.
Atoms (fractional coordinates):
Rb  0.0000  0.0000  0.5000  2 P 3.33
Rb  0.0000  0.5000  0.0000  2 P 3.33
Rb  0.5000  0.0000  0.0000  2 P 3.33
Hg  0.5000  0.5000  0.5000  12 Rb 4.70
P  0.0000  0.0000  0.0000  6 Rb 3.33

# 7
Below is a geometry-optimized Zn2CoH3 structure, with properties calculated at the PBE level.

Values from the calculation:
- Total energy: -38.37 eV/cell
- Space group: C2/c, No. 15
- Size of the total moment: 0.0 μB per cell
- D(E_F): 0.056 states/eV per atom

Lattice parameters (Å, degrees): 4.6262 4.6262 4.9900 90.28 90.28 66.38
With the nearest neighbours (Å) after each atom.
Atoms (fractional coordinates):
Zn  0.2087  0.2217  0.0009  3 H 2.01-2.10
Zn  0.2217  0.2087  0.5009  3 H 2.01-2.10
Zn  0.7783  0.7913  0.4991  3 H 2.01-2.10
Zn  0.7913  0.7783  0.9991  3 H 2.01-2.10
Co  0.3556  0.6444  0.7500  5 H 1.57-1.72
Co  0.6444  0.3556  0.2500  5 H 1.57-1.72
H  0.0464  0.9536  0.7500  1 Co 1.57
H  0.3123  0.5903  0.4229  2 Co 1.67-1.72, 1 H 1.77
H  0.4097  0.6877  0.0771  2 Co 1.67-1.72, 1 H 1.77
H  0.5903  0.3123  0.9229  2 Co 1.67-1.72, 1 H 1.77
H  0.6877  0.4097  0.5771  2 Co 1.67-1.72, 1 H 1.77
H  0.9536  0.0464  0.2500  1 Co 1.57

# 8
Below is a geometry-optimized Sr2PC structure, with properties calculated at the PBE level.

Values from the calculation:
- Total energy: -16.49 eV/cell
- Formation energy from the elements: 0.378 eV/atom
- Space group: Fm-3m, No. 225
- Size of the total moment: 2.9 μB per cell
- D(E_F): 0.428 states/eV per atom

Lattice parameters (Å, degrees): 5.1264 5.1264 5.1264 60.00 60.00 60.00
With the nearest neighbours (Å) after each atom.
Atoms (fractional coordinates):
Sr  0.2500  0.2500  0.2500  4 C 3.14, 4 P 3.14
Sr  0.7500  0.7500  0.7500  4 P 3.14, 4 C 3.14
P  0.0000  0.0000  0.0000  8 Sr 3.14
C  0.5000  0.5000  0.5000  8 Sr 3.14

# 9
Below is a geometry-optimized Dy5ZrIn3 structure, with properties calculated at the PBE level.

Values from the calculation:
- Total energy: -85.01 eV/cell
- Formation energy from the elements: -0.303 eV/atom
- Space group: P6_3/mcm, No. 193
- Size of the total moment: 3.7 μB per cell
- D(E_F): 0.947 states/eV per atom

Lattice parameters (Å, degrees): 9.2604 9.2604 6.6114 90.00 90.00 120.00
With the nearest neighbours (Å) after each atom.
Atoms (fractional coordinates):
Dy  0.0000  0.3177  0.2500  5 In 3.06-3.31, 2 Zr 3.37
Dy  0.0000  0.6823  0.7500  5 In 3.06-3.31, 2 Zr 3.37
Dy  0.3177  0.0000  0.2500  5 In 3.06-3.31, 2 Zr 3.37
Dy  0.3177  0.3177  0.7500  5 In 3.06-3.31, 2 Zr 3.37
Dy  0.3333  0.6667  0.0000  8 Dy 3.31-3.57, 6 In 3.47
Dy  0.3333  0.6667  0.5000  8 Dy 3.31-3.57, 6 In 3.47
Dy  0.6667  0.3333  0.0000  8 Dy 3.31-3.57, 6 In 3.47
Dy  0.6667  0.3333  0.5000  8 Dy 3.31-3.57, 6 In 3.47
Dy  0.6823  0.0000  0.7500  5 In 3.06-3.31, 2 Zr 3.37
Dy  0.6823  0.6823  0.2500  5 In 3.06-3.31, 2 Zr 3.37
Zr  0.0000  0.0000  0.0000  2 Zr 3.31, 6 Dy 3.37, 6 In 3.57
Zr  0.0000  0.0000  0.5000  2 Zr 3.31, 6 Dy 3.37, 6 In 3.57
In  0.0000  0.3423  0.7500  5 Dy 3.06-3.31
In  0.0000  0.6577  0.2500  5 Dy 3.06-3.31
In  0.3423  0.0000  0.7500  5 Dy 3.06-3.31
In  0.3423  0.3423  0.2500  5 Dy 3.06-3.31
In  0.6577  0.0000  0.2500  5 Dy 3.06-3.31
In  0.6577  0.6577  0.7500  5 Dy 3.06-3.31

# 10
Below is a geometry-optimized AgRh2Pb structure, with properties calculated at the PBE level.

Values from the calculation:
- Total energy: -19.95 eV/cell
- Formation energy from the elements: 0.329 eV/atom
- Space group: R-3m, No. 166
- Size of the total moment: 0.0 μB per cell
- D(E_F): 0.833 states/eV per atom

Lattice parameters (Å, degrees): 8.7073 8.7073 8.7073 20.79 20.79 20.79
With the nearest neighbours (Å) after each atom.
Atoms (fractional coordinates):
Ag  0.0000  0.0000  0.0000  6 Rh 2.84, 6 Ag 3.14
Rh  0.2478  0.2478  0.2478  3 Pb 2.76, 3 Ag 2.84
Rh  0.7522  0.7522  0.7522  3 Pb 2.76, 3 Ag 2.84
Pb  0.5000  0.5000  0.5000  6 Rh 2.76

# 11
Below is a geometry-optimized YTaB3 structure, with properties calculated at the PBE level.

Values from the calculation:
- Total energy: -27.56 eV/cell
- Formation energy from the elements: 2.157 eV/atom
- Space group: Pm-3m, No. 221
- Size of the total moment: 0.0 μB per cell
- D(E_F): 0.495 states/eV per atom

Lattice parameters (Å, degrees): 4.2032 4.2032 4.2032 90.00 90.00 90.00
With the nearest neighbours (Å) after each atom.
Atoms (fractional coordinates):
Y  0.0000  0.0000  0.0000  6 B 2.10
Ta  0.5000  0.5000  0.5000  12 B 2.97
B  0.0000  0.0000  0.5000  2 Y 2.10
B  0.0000  0.5000  0.0000  2 Y 2.10
B  0.5000  0.0000  0.0000  2 Y 2.10

# 12
Below is a geometry-optimized NdPuSnPb structure, with properties calculated at the PBE level.

Values from the calculation:
- Total energy: -28.17 eV/cell
- Formation energy from the elements: -0.339 eV/atom
- Space group: F-43m, No. 216
- Size of the total moment: 6.1 μB per cell
- D(E_F): 3.024 states/eV per atom

Lattice parameters (Å, degrees): 5.4694 5.4694 5.4694 60.00 60.00 60.00
With the nearest neighbours (Å) after each atom.
Atoms (fractional coordinates):
Nd  0.0000  0.0000  0.0000  4 Pb 3.35, 4 Sn 3.35
Pu  0.5000  0.5000  0.5000  4 Pb 3.35, 4 Sn 3.35
Sn  0.2500  0.2500  0.2500  4 Nd 3.35, 4 Pu 3.35
Pb  0.7500  0.7500  0.7500  4 Nd 3.35, 4 Pu 3.35